[1]
{"formula": "CoReSi2", "functional": "GGA-PBE", "state": "optimized geometry", "de_polymorph_ev_per_atom": 0.030, "raw_formation_energy_ev_per_atom": -0.259, "magmom_total_mub_per_cell": 0.00, "final_energy_ev_per_cell": -31.44, "spacegroup": "No. 99", "cell": [[3.115, 0.000, 0.000], [0.000, 3.115, 0.000], [0.000, 0.000, 5.190]], "species": ["Co", "Re", "Si", "Si"], "fractional_positions": [[0.000, 0.000, 0.000], [0.500, 0.500, 0.333], [0.000, 0.000, 0.548], [0.500, 0.500, 0.825]]}

***

[2]
{"formula": "DyEr6Tm2Sc3", "functional": "GGA-PBE", "state": "optimized geometry", "magmom_total_mub_per_cell": 0.00, "final_energy_ev_per_cell": -59.39, "spacegroup": "No. 12", "cell": [[2.993, -5.179, 0.000], [2.993, 5.179, 0.000], [-1.991, 0.000, 11.204]], "species": ["Dy", "Er", "Er", "Er", "Er", "Er", "Er", "Tm", "Tm", "Sc", "Sc", "Sc"], "fractional_positions": [[0.000, 0.000, 0.000], [0.086, 0.419, 0.258], [0.248, 0.248, 0.742], [0.419, 0.086, 0.258], [0.581, 0.914, 0.742], [0.752, 0.752, 0.258], [0.914, 0.581, 0.742], [0.333, 0.667, 0.000], [0.667, 0.333, 0.000], [0.167, 0.833, 0.500], [0.500, 0.500, 0.500], [0.833, 0.167, 0.500]]}

***

[3]
{"formula": "TaInAsBr2", "functional": "GGA-PBE", "state": "optimized geometry", "de_polymorph_ev_per_atom": 0.000, "raw_formation_energy_ev_per_atom": -0.091, "magmom_total_mub_per_cell": 0.21, "final_energy_ev_per_cell": -23.04, "spacegroup": "No. 123", "cell": [[5.271, 0.000, 0.000], [0.000, 5.271, 0.000], [0.000, 0.000, 5.054]], "species": ["Ta", "In", "As", "Br", "Br"], "fractional_positions": [[0.000, 0.000, 0.000], [0.500, 0.500, 0.500], [0.000, 0.000, 0.500], [0.000, 0.500, 0.000], [0.500, 0.000, 0.000]]}

***

[4]
{"formula": "CsBaTe2", "functional": "GGA-PBE", "state": "optimized geometry", "raw_formation_energy_ev_per_atom": -0.954, "magmom_total_mub_per_cell": 0.00, "final_energy_ev_per_cell": -25.75, "spacegroup": "No. 38", "cell": [[5.409, 0.000, 0.000], [0.000, 8.064, 0.000], [0.000, 0.000, 10.436]], "species": ["Cs", "Cs", "Ba", "Ba", "Te", "Te", "Te", "Te"], "fractional_positions": [[0.000, 0.000, 0.000], [0.000, 0.500, 0.500], [0.500, 0.000, 0.526], [0.500, 0.500, 0.026], [0.500, 0.223, 0.259], [0.500, 0.277, 0.759], [0.500, 0.723, 0.759], [0.500, 0.777, 0.259]]}

***

[5]
{"formula": "PmSc2Ag3Se6", "functional": "GGA-PBE", "state": "optimized geometry", "raw_formation_energy_ev_per_atom": -1.076, "magmom_total_mub_per_cell": 0.00, "final_energy_ev_per_cell": -59.79, "spacegroup": "No. 12", "cell": [[3.519, -6.116, 0.000], [3.519, 6.116, 0.000], [-2.318, 0.000, 6.516]], "species": ["Pm", "Sc", "Sc", "Ag", "Ag", "Ag", "Se", "Se", "Se", "Se", "Se", "Se"], "fractional_positions": [[0.000, 0.000, 0.000], [0.331, 0.669, 0.000], [0.669, 0.331, 0.000], [0.157, 0.843, 0.500], [0.500, 0.500, 0.500], [0.843, 0.157, 0.500], [0.078, 0.432, 0.237], [0.276, 0.276, 0.762], [0.432, 0.078, 0.237], [0.568, 0.922, 0.763], [0.724, 0.724, 0.238], [0.922, 0.568, 0.763]]}

***

[6]
{"formula": "Ce3Mg2In3Ga", "functional": "GGA-PBE", "state": "optimized geometry", "magmom_total_mub_per_cell": 3.91, "final_energy_ev_per_cell": -34.10, "spacegroup": "No. 189", "cell": [[9.029, 0.000, 0.000], [-4.515, 7.820, 0.000], [0.000, 0.000, 3.225]], "species": ["Ce", "Ce", "Ce", "Mg", "Mg", "In", "In", "In", "Ga"], "fractional_positions": [[0.000, 0.278, 0.000], [0.278, 0.000, 0.000], [0.722, 0.722, 0.000], [0.333, 0.667, 0.000], [0.667, 0.333, 0.000], [0.000, 0.617, 0.500], [0.383, 0.383, 0.500], [0.617, 0.000, 0.500], [0.000, 0.000, 0.500]]}

***

[7]
{"formula": "NaLiLaSn", "functional": "GGA-PBE", "state": "optimized geometry", "magmom_total_mub_per_cell": 0.00, "final_energy_ev_per_cell": -53.75, "spacegroup": "No. 216", "cell": [[7.613, 0.000, 0.000], [0.000, 7.613, 0.000], [0.000, 0.000, 7.613]], "species": ["Na", "Na", "Na", "Na", "Li", "Li", "Li", "Li", "La", "La", "La", "La", "Sn", "Sn", "Sn", "Sn"], "fractional_positions": [[0.000, 0.000, 0.000], [0.000, 0.500, 0.500], [0.500, 0.000, 0.500], [0.500, 0.500, 0.000], [0.250, 0.250, 0.750], [0.250, 0.750, 0.250], [0.750, 0.250, 0.250], [0.750, 0.750, 0.750], [0.000, 0.000, 0.500], [0.000, 0.500, 0.000], [0.500, 0.000, 0.000], [0.500, 0.500, 0.500], [0.250, 0.250, 0.250], [0.250, 0.750, 0.750], [0.750, 0.250, 0.750], [0.750, 0.750, 0.250]]}

***

[8]
{"formula": "HgGe3Te", "functional": "GGA-PBE", "state": "optimized geometry", "de_polymorph_ev_per_atom": 0.000, "raw_formation_energy_ev_per_atom": 0.763, "magmom_total_mub_per_cell": 0.00, "final_energy_ev_per_cell": -13.48, "spacegroup": "No. 221", "cell": [[5.244, 0.000, 0.000], [0.000, 5.244, 0.000], [0.000, 0.000, 5.244]], "species": ["Hg", "Ge", "Ge", "Ge", "Te"], "fractional_positions": [[0.000, 0.000, 0.000], [0.000, 0.000, 0.500], [0.000, 0.500, 0.000], [0.500, 0.000, 0.000], [0.500, 0.500, 0.500]]}

***

[9]
{"formula": "LiHoCdPb", "functional": "GGA-PBE", "state": "optimized geometry", "magmom_total_mub_per_cell": 0.00, "final_energy_ev_per_cell": -50.08, "spacegroup": "No. 216", "cell": [[7.288, 0.000, 0.000], [0.000, 7.288, 0.000], [0.000, 0.000, 7.288]], "species": ["Li", "Li", "Li", "Li", "Ho", "Ho", "Ho", "Ho", "Cd", "Cd", "Cd", "Cd", "Pb", "Pb", "Pb", "Pb"], "fractional_positions": [[0.000, 0.000, 0.000], [0.000, 0.500, 0.500], [0.500, 0.000, 0.500], [0.500, 0.500, 0.000], [0.000, 0.000, 0.500], [0.000, 0.500, 0.000], [0.500, 0.000, 0.000], [0.500, 0.500, 0.500], [0.250, 0.250, 0.250], [0.250, 0.750, 0.750], [0.750, 0.250, 0.750], [0.750, 0.750, 0.250], [0.250, 0.250, 0.750], [0.250, 0.750, 0.250], [0.750, 0.250, 0.250], [0.750, 0.750, 0.750]]}

***

[10]
{"formula": "KBa2ZnPt", "functional": "GGA-PBE", "state": "optimized geometry", "magmom_total_mub_per_cell": 0.16, "final_energy_ev_per_cell": -13.66, "spacegroup": "No. 123", "cell": [[6.282, 0.000, 0.000], [0.000, 6.282, 0.000], [0.000, 0.000, 5.141]], "species": ["K", "Ba", "Ba", "Zn", "Pt"], "fractional_positions": [[0.000, 0.000, 0.000], [0.000, 0.500, 0.500], [0.500, 0.000, 0.500], [0.500, 0.500, 0.000], [0.500, 0.500, 0.500]]}

***

[11]
{"formula": "Ca3H2Pd5", "functional": "GGA-PBE", "state": "optimized geometry", "magmom_total_mub_per_cell": 0.00, "final_energy_ev_per_cell": -87.33, "spacegroup": "No. 72", "cell": [[-3.879, 7.064, 3.093], [3.879, -7.064, 3.093], [3.879, 7.064, -3.093]], "species": ["Ca", "Ca", "Ca", "Ca", "Ca", "Ca", "H", "H", "H", "H", "Pd", "Pd", "Pd", "Pd", "Pd", "Pd", "Pd", "Pd", "Pd", "Pd"], "fractional_positions": [[0.150, 0.679, 0.829], [0.250, 0.250, 0.000], [0.350, 0.179, 0.529], [0.650, 0.821, 0.471], [0.750, 0.750, 0.000], [0.850, 0.321, 0.171], [0.140, 0.045, 0.184], [0.360, 0.545, 0.905], [0.640, 0.455, 0.095], [0.860, 0.955, 0.816], [0.046, 0.250, 0.796], [0.111, 0.274, 0.386], [0.250, 0.750, 0.500], [0.389, 0.774, 0.163], [0.454, 0.250, 0.204], [0.546, 0.750, 0.796], [0.611, 0.226, 0.837], [0.750, 0.250, 0.500], [0.889, 0.726, 0.614], [0.954, 0.750, 0.204]]}

***

[12]
{"formula": "CrPAu2", "functional": "GGA-PBE", "state": "optimized geometry", "magmom_total_mub_per_cell": 6.21, "final_energy_ev_per_cell": -41.50, "spacegroup": "No. 44", "cell": [[3.467, 0.000, 0.000], [0.000, 4.501, 0.000], [0.000, 0.000, 8.443]], "species": ["Cr", "Cr", "P", "P", "Au", "Au", "Au", "Au"], "fractional_positions": [[0.000, 0.000, 0.000], [0.500, 0.500, 0.500], [0.000, 0.500, 0.688], [0.500, 0.000, 0.188], [0.000, 0.000, 0.430], [0.000, 0.500, 0.216], [0.500, 0.000, 0.716], [0.500, 0.500, 0.930]]}